# GGA+U NaCoIrF6, optimized geometry
# Density (g/cm3): 5.21
# Calculated total energy (eV per atom): -4.87
data_NaCoIrF6
_cell_length_a 5.4478
_cell_length_b 5.4478
_cell_length_c 9.6292
_cell_angle_alpha 90.00
_cell_angle_beta 90.00
_cell_angle_gamma 120.00
_space_group_name_H-M_alt 'P -3 1 c'
_space_group_IT_number 163
_space_group_name_Hall '-P 3 2c'
loop_
_atom_site_label
_atom_site_type_symbol
_atom_site_fract_x
_atom_site_fract_y
_atom_site_fract_z
Na1 Na 0.0000 0.0000 0.0000
Co1 Co 0.3333 0.6667 0.2500
Ir1 Ir 0.3333 0.6667 0.7500
F1 F 0.0047 0.3534 0.6411